Entry 1:
! Tc2Os PBEsol optimized geometry; values from VASP
&SYSTEM
  ibrav = 0, nat = 3, ntyp = 2
/
ATOMIC_SPECIES
Tc 98.00 Tc.upf
Os 190.23 Os.upf
CELL_PARAMETERS angstrom
-0.050 4.115 -0.387
-3.220 2.170 1.419
0.433 2.396 3.341
ATOMIC_POSITIONS angstrom
Tc -2.128 6.511 3.279
Os 0.000 0.000 0.000
Tc -0.709 2.170 1.093
! Crystal system   cubic
! Formation energy from the elements   0.73 eV per atom
! Distance to the lowest polymorph of the same formula   0.800 eV per atom
! SG   Fm-3m (225)
! Calculated density   12.841 g cm⁻³

Entry 2:
! Al2InAg PBEsol optimized geometry; values from VASP
&SYSTEM
  ibrav = 0, nat = 4, ntyp = 3
/
ATOMIC_SPECIES
Al 26.98 Al.upf
In 114.82 In.upf
Ag 107.87 Ag.upf
CELL_PARAMETERS angstrom
-0.337 -3.606 2.076
-0.120 -2.074 -3.621
4.194 -0.355 0.064
ATOMIC_POSITIONS angstrom
Al -0.169 -1.803 1.038
Al -0.060 -1.037 -1.811
In 1.868 -3.017 -0.740
Ag 2.097 -0.177 0.032
! Crystal system   tetragonal
! Formation energy from the elements   0.11 eV per atom
! SG   P4/mmm (123)
! Calculated density   6.263 g cm⁻³

Entry 3:
! CeGaAg PBEsol optimized geometry; values from VASP
&SYSTEM
  ibrav = 0, nat = 6, ntyp = 3
/
ATOMIC_SPECIES
Ce 140.12 Ce.upf
Ga 69.72 Ga.upf
Ag 107.87 Ag.upf
CELL_PARAMETERS angstrom
4.606 0.000 0.000
2.303 5.241 0.118
2.303 0.652 5.202
ATOMIC_POSITIONS angstrom
Ce 4.606 0.341 0.308
Ga 4.606 5.073 2.690
Ce 6.910 3.024 2.730
Ag 4.606 0.904 3.379
Ag 4.606 3.454 0.555
Ga 4.606 3.194 4.772
! Crystal system   orthorhombic
! Formation energy from the elements   -0.39 eV per atom
! SG   Imm2 (44)
! Calculated density   8.426 g cm⁻³

Entry 4:
! SiRu2Cl PBEsol optimized geometry; values from VASP
&SYSTEM
  ibrav = 0, nat = 4, ntyp = 3
/
ATOMIC_SPECIES
Si 28.09 Si.upf
Cl 35.45 Cl.upf
Ru 101.07 Ru.upf
CELL_PARAMETERS angstrom
2.765 0.000 0.000
0.000 2.765 0.000
0.000 0.000 8.088
ATOMIC_POSITIONS angstrom
Si 0.000 0.000 3.603
Cl 1.383 1.383 6.555
Ru 1.383 1.383 1.838
Ru 0.000 0.000 0.136
! Crystal system   tetragonal
! Distance to the lowest polymorph of the same formula   0.000 eV per atom
! Formation energy (no corrections)   197 meV per atom
! SG   P4mm (99)
! Calculated density   7.135 g cm⁻³

Entry 5:
! Cd3Cu PBEsol optimized geometry; values from VASP
&SYSTEM
  ibrav = 0, nat = 4, ntyp = 2
/
ATOMIC_SPECIES
Cd 112.41 Cd.upf
Cu 63.55 Cu.upf
CELL_PARAMETERS angstrom
-3.934 0.135 1.307
-1.277 -1.362 -3.704
0.308 -3.916 1.334
ATOMIC_POSITIONS angstrom
Cd -1.967 0.068 0.654
Cd -0.639 -0.681 -1.852
Cu -2.452 -2.571 -0.531
Cd 0.154 -1.958 0.667
! Crystal system   cubic
! Formation energy from the elements   0.09 eV per atom
! SG   Pm-3m (221)
! Calculated density   9.324 g cm⁻³

Entry 6:
! Ca2CdSeF PBEsol optimized geometry; values from VASP
&SYSTEM
  ibrav = 0, nat = 5, ntyp = 4
/
ATOMIC_SPECIES
F 19.00 F.upf
Ca 40.08 Ca.upf
Cd 112.41 Cd.upf
Se 78.96 Se.upf
CELL_PARAMETERS angstrom
4.502 0.000 0.000
0.000 5.548 0.000
0.000 0.000 5.548
ATOMIC_POSITIONS angstrom
F 2.251 0.000 0.000
Ca 0.000 0.000 2.774
Cd 2.251 2.774 2.774
Se 0.000 0.000 0.000
Ca 0.000 2.774 0.000
! Crystal system   tetragonal
! Formation energy (no corrections)   -885 meV per atom
! SG   P4/mmm (123)
! Calculated density   3.482 g cm⁻³

Entry 7:
! Al2CdFe PBEsol optimized geometry; values from VASP
&SYSTEM
  ibrav = 0, nat = 4, ntyp = 3
/
ATOMIC_SPECIES
Fe 55.84 Fe.upf
Al 26.98 Al.upf
Cd 112.41 Cd.upf
CELL_PARAMETERS angstrom
3.055 0.000 0.000
0.000 4.553 0.000
-1.527 -2.276 4.308
ATOMIC_POSITIONS angstrom
Fe 1.527 0.000 0.000
Al 1.527 2.276 2.410
Al 0.000 0.000 1.898
Cd 0.000 2.276 0.000
! Crystal system   orthorhombic
! Formation energy from the elements   0.07 eV per atom
! SG   Immm (71)
! Calculated density   6.159 g cm⁻³

Entry 8:
! HfCr3In PBEsol optimized geometry; values from VASP
&SYSTEM
  ibrav = 0, nat = 5, ntyp = 3
/
ATOMIC_SPECIES
Cr 52.00 Cr.upf
In 114.82 In.upf
Hf 178.49 Hf.upf
CELL_PARAMETERS angstrom
4.695 0.000 0.000
0.000 4.695 0.000
0.000 0.000 4.695
ATOMIC_POSITIONS angstrom
Cr 0.000 2.348 0.000
Cr 0.000 0.000 2.348
In 2.348 2.348 2.348
Hf 0.000 0.000 0.000
Cr 2.348 0.000 0.000
! Crystal system   cubic
! Formation energy from the elements   1.69 eV per atom
! SG   Pm-3m (221)
! Calculated density   7.208 g cm⁻³

Entry 9:
! Rb2Zn5As4 PBEsol optimized geometry; values from VASP
&SYSTEM
  ibrav = 0, nat = 22, ntyp = 3
/
ATOMIC_SPECIES
Zn 65.41 Zn.upf
As 74.92 As.upf
Rb 85.47 Rb.upf
CELL_PARAMETERS angstrom
-1.764 3.046 -5.792
3.898 -5.525 -0.454
-9.533 -6.675 -0.607
ATOMIC_POSITIONS angstrom
Zn -0.303 -1.584 -2.221
Zn -0.270 -4.124 -6.335
As -2.758 -0.920 -2.497
Zn -7.095 -7.571 -4.630
Rb -0.536 1.186 -4.633
Rb -5.302 -2.152 -4.937
Zn -7.132 -4.742 -3.641
Zn -4.409 -5.690 -4.460
As 0.588 -2.449 -4.557
Zn -5.512 -7.195 -2.113
Zn -0.266 -4.414 -3.211
As -2.282 -4.459 -4.739
Zn -7.128 -5.031 -0.517
As -5.117 -4.696 -2.112
As -0.979 -3.614 -0.819
As -7.987 -6.706 -2.295
As -4.640 -8.235 -4.355
Zn -1.887 -1.960 -4.739
As -6.420 -5.541 -6.033
Zn -2.990 -3.465 -2.392
Rb -2.097 -7.003 -1.915
Rb 2.670 -3.666 -1.612
! Crystal system   orthorhombic
! Formation energy from the elements   -0.32 eV per atom
! SG   Cmcm (63)
! Calculated density   5.570 g cm⁻³

Entry 10:
! Zr2SiNi PBEsol optimized geometry; values from VASP
&SYSTEM
  ibrav = 0, nat = 4, ntyp = 3
/
ATOMIC_SPECIES
Zr 91.22 Zr.upf
Ni 58.69 Ni.upf
Si 28.09 Si.upf
CELL_PARAMETERS angstrom
3.634 0.000 0.000
0.000 3.770 0.000
-1.817 0.000 4.959
ATOMIC_POSITIONS angstrom
Zr 0.000 1.885 2.696
Ni 1.817 0.000 1.944
Zr 1.817 0.000 4.753
Si 1.817 1.885 0.517
! Crystal system   orthorhombic
! Formation energy (no corrections)   -736 meV per atom
! SG   Amm2 (38)
! Calculated density   6.580 g cm⁻³

Entry 11:
! CsK2Cd2 PBEsol optimized geometry; values from VASP
&SYSTEM
  ibrav = 0, nat = 10, ntyp = 3
/
ATOMIC_SPECIES
K 39.10 K.upf
Cs 132.91 Cs.upf
Cd 112.41 Cd.upf
CELL_PARAMETERS angstrom
4.993 0.000 0.000
0.000 9.590 0.000
0.000 0.000 9.590
ATOMIC_POSITIONS angstrom
K 2.497 6.422 7.963
K 2.497 7.963 3.168
K 2.497 1.627 6.422
K 2.497 3.168 1.627
Cs 0.000 4.795 4.795
Cd 0.000 5.814 1.019
Cd 0.000 3.776 8.571
Cs 0.000 0.000 0.000
Cd 0.000 1.019 3.776
Cd 0.000 8.571 5.814
! Crystal system   tetragonal
! Formation energy from the elements   0.04 eV per atom
! Distance to the lowest polymorph of the same formula   0.000 eV per atom
! SG   P4/mbm (127)
! Calculated density   3.153 g cm⁻³

Entry 12:
! LaIn2Fe PBEsol optimized geometry; values from VASP
&SYSTEM
  ibrav = 0, nat = 4, ntyp = 3
/
ATOMIC_SPECIES
Fe 55.84 Fe.upf
In 114.82 In.upf
La 138.91 La.upf
CELL_PARAMETERS angstrom
-0.373 3.290 -3.756
-4.506 1.272 -1.776
-1.826 4.583 0.858
ATOMIC_POSITIONS angstrom
Fe -3.352 4.572 -2.337
In 0.000 0.000 0.000
La -1.676 2.286 -1.169
In -5.029 6.859 -3.506
! Crystal system   cubic
! Formation energy from the elements   0.09 eV per atom
! SG   F-43m (216)
! Calculated density   7.939 g cm⁻³

Entry 13:
! Cd2AuI2 PBEsol optimized geometry; values from VASP
&SYSTEM
  ibrav = 0, nat = 5, ntyp = 3
/
ATOMIC_SPECIES
Cd 112.41 Cd.upf
I 126.90 I.upf
Au 196.97 Au.upf
CELL_PARAMETERS angstrom
-3.670 -2.777 -2.840
3.605 -0.705 -3.969
1.743 -2.964 5.794
ATOMIC_POSITIONS angstrom
Cd 2.658 -2.705 -0.790
I 0.498 -3.200 -2.663
I 1.180 -3.246 1.649
Cd -0.980 -3.741 -0.225
Au 0.000 0.000 0.000
! Crystal system   tetragonal
! Formation energy (no corrections)   390 meV per atom
! SG   I4/mmm (139)
! Calculated density   6.916 g cm⁻³

Entry 14:
! BeIn2Cl PBEsol optimized geometry; values from VASP
&SYSTEM
  ibrav = 0, nat = 4, ntyp = 3
/
ATOMIC_SPECIES
In 114.82 In.upf
Cl 35.45 Cl.upf
Be 9.01 Be.upf
CELL_PARAMETERS angstrom
3.249 0.000 0.000
0.000 3.249 0.000
0.000 0.000 7.498
ATOMIC_POSITIONS angstrom
In 0.000 0.000 5.909
Cl 1.625 1.625 3.749
In 0.000 0.000 1.589
Be 1.625 1.625 0.000
! Crystal system   tetragonal
! Distance to the lowest polymorph of the same formula   0.166 eV per atom
! Formation energy (no corrections)   98 meV per atom
! SG   P4/mmm (123)
! Calculated density   5.750 g cm⁻³

Entry 15:
! LaMoClO4 PBEsol optimized geometry; values from VASP
&SYSTEM
  ibrav = 0, nat = 56, ntyp = 4
/
ATOMIC_SPECIES
O 16.00 O.upf
Cl 35.45 Cl.upf
Mo 95.94 Mo.upf
La 138.91 La.upf
CELL_PARAMETERS angstrom
-3.957 0.412 -4.267
1.910 -7.235 -2.469
-13.236 -7.419 11.559
ATOMIC_POSITIONS angstrom
O -13.355 -6.915 7.572
Cl -5.745 -9.840 2.484
Mo -11.311 -7.184 3.770
Mo -4.971 -3.436 2.240
Cl -8.484 -8.030 1.211
La -13.893 -9.060 6.472
O -5.854 -4.386 -1.088
O -11.425 -11.747 3.535
O -5.252 -1.878 -1.824
Mo -4.533 -3.981 -2.146
La -13.378 -12.631 4.763
La -1.390 -5.183 -1.648
O -9.644 -7.018 4.442
O -6.711 -3.199 1.842
La -8.011 -8.858 4.146
O -1.928 -7.328 -2.749
O -11.513 -8.692 7.313
Cl -2.927 -0.669 -3.440
La -8.534 -5.285 5.845
La -6.749 -8.957 -1.022
O -3.386 -8.724 0.848
O -2.849 -6.118 0.112
O -3.065 -3.285 -1.373
Mo -11.689 -6.645 8.221
O -15.062 -7.144 5.393
O -12.218 -10.958 6.196
La -1.905 -1.611 0.060
O -7.633 -7.623 6.258
O -4.880 -5.050 1.501
La -7.272 -5.384 0.677
O -7.650 -6.620 -1.435
O -10.495 -6.227 7.026
O -5.640 -7.225 0.382
O -10.403 -9.192 3.322
O -10.031 -12.365 6.647
Cl -6.799 -6.212 3.612
O -8.411 -3.418 -0.342
O -8.572 -11.043 2.982
O -12.434 -8.124 4.711
Cl -12.356 -13.573 8.263
O -11.897 -5.518 3.976
O -14.222 -10.343 4.374
O -4.788 -8.015 -2.203
O -6.872 -10.824 5.166
O -9.429 -9.856 5.911
Mo -3.594 -7.597 -3.398
O -3.858 -2.495 1.289
Mo -10.750 -10.261 6.970
O -3.770 -5.550 -2.490
O -1.061 -3.900 0.450
Mo -10.312 -10.806 2.584
Cl -13.418 -9.944 9.382
Mo -3.972 -7.058 1.053
Cl -1.865 -4.298 -4.559
O -0.221 -7.099 -0.570
Cl -9.538 -4.402 2.339
! Crystal system   monoclinic
! Formation energy (no corrections)   -2561 meV per atom
! SG   P2_1/c (14)
! Calculated density   5.065 g cm⁻³

Entry 16:
! Ba2Sr2CaTi5O15 PBEsol optimized geometry; values from VASP
&SYSTEM
  ibrav = 0, nat = 25, ntyp = 5
/
ATOMIC_SPECIES
O 16.00 O.upf
Ti 47.87 Ti.upf
Ca 40.08 Ca.upf
Ba 137.33 Ba.upf
Sr 87.62 Sr.upf
CELL_PARAMETERS angstrom
3.910 0.000 0.000
0.000 8.775 0.067
0.000 0.064 8.885
ATOMIC_POSITIONS angstrom
O 0.000 1.737 7.838
O 0.000 0.957 1.669
O 0.000 4.325 8.899
Ti 0.000 1.826 3.692
Ti 0.000 5.263 1.923
Ti 0.000 0.064 0.043
O 0.000 7.033 0.903
O 0.000 5.259 6.219
O 0.000 2.652 5.316
O 1.955 0.133 8.762
Ti 0.000 7.132 5.450
O 0.000 6.101 3.574
O 0.000 7.971 7.086
O 1.955 1.818 3.533
O 1.955 3.447 7.067
O 1.955 7.007 5.345
Ca 1.955 1.047 6.471
Ba 1.955 7.940 2.742
Ba 1.955 6.203 8.063
O 0.000 3.517 2.680
O 0.000 8.802 4.472
Ti 0.000 3.567 7.192
Sr 1.955 4.445 4.555
O 1.955 5.210 1.797
Sr 1.955 2.672 1.014
! Crystal system   monoclinic
! Formation energy (no corrections)   -3158 meV per atom
! SG   Pm (6)
! Calculated density   5.280 g cm⁻³

Entry 17:
! MgP3Ru PBEsol optimized geometry; values from VASP
&SYSTEM
  ibrav = 0, nat = 5, ntyp = 3
/
ATOMIC_SPECIES
P 30.97 P.upf
Mg 24.30 Mg.upf
Ru 101.07 Ru.upf
CELL_PARAMETERS angstrom
4.536 0.000 0.000
0.000 4.536 0.000
0.000 0.000 4.536
ATOMIC_POSITIONS angstrom
P 0.000 2.268 0.000
P 2.268 0.000 0.000
Mg 0.000 0.000 0.000
P 0.000 0.000 2.268
Ru 2.268 2.268 2.268
! Crystal system   cubic
! Formation energy from the elements   1.55 eV per atom
! SG   Pm-3m (221)
! Calculated density   3.884 g cm⁻³

Entry 18:
! Ca2TaW PBEsol optimized geometry; values from VASP
&SYSTEM
  ibrav = 0, nat = 4, ntyp = 3
/
ATOMIC_SPECIES
Ca 40.08 Ca.upf
W 183.84 W.upf
Ta 180.95 Ta.upf
CELL_PARAMETERS angstrom
3.097 0.004 0.000
-1.160 2.871 0.000
0.000 0.000 10.438
ATOMIC_POSITIONS angstrom
Ca 0.000 0.000 0.432
Ca 0.969 1.438 7.495
W 0.969 1.438 2.925
Ta 0.000 0.000 4.806
! Crystal system   orthorhombic
! Formation energy from the elements   0.62 eV per atom
! Distance to the lowest polymorph of the same formula   0.000 eV per atom
! SG   Cmm2 (35)
! Calculated density   7.956 g cm⁻³

Entry 19:
! CrNi2Ru PBEsol optimized geometry; values from VASP
&SYSTEM
  ibrav = 0, nat = 4, ntyp = 3
/
ATOMIC_SPECIES
Cr 52.00 Cr.upf
Ni 58.69 Ni.upf
Ru 101.07 Ru.upf
CELL_PARAMETERS angstrom
3.591 0.000 0.000
0.000 3.591 0.000
-1.796 -1.796 3.507
ATOMIC_POSITIONS angstrom
Cr 0.000 1.796 1.754
Ni 1.796 0.000 1.754
Ni 1.796 1.796 0.000
Ru 0.000 0.000 0.000
! Crystal system   tetragonal
! Formation energy from the elements   0.03 eV per atom
! SG   I-4m2 (119)
! Calculated density   9.928 g cm⁻³

Entry 20:
! BaSi2Sb PBEsol optimized geometry; values from VASP
&SYSTEM
  ibrav = 0, nat = 4, ntyp = 3
/
ATOMIC_SPECIES
Sb 121.76 Sb.upf
Si 28.09 Si.upf
Ba 137.33 Ba.upf
CELL_PARAMETERS angstrom
3.727 0.000 0.000
0.000 5.773 0.000
-1.863 -2.886 4.874
ATOMIC_POSITIONS angstrom
Sb 0.000 2.886 0.000
Si 1.863 2.886 2.043
Ba 1.863 0.000 0.000
Si 0.000 0.000 2.831
! Crystal system   orthorhombic
! Formation energy (no corrections)   133 meV per atom
! SG   Immm (71)
! Calculated density   4.993 g cm⁻³

Entry 21:
! Ba2NdIrO6 PBEsol optimized geometry; values from VASP
&SYSTEM
  ibrav = 0, nat = 10, ntyp = 4
/
ATOMIC_SPECIES
Ba 137.33 Ba.upf
O 16.00 O.upf
Nd 144.24 Nd.upf
Ir 192.22 Ir.upf
CELL_PARAMETERS angstrom
6.000 0.000 0.000
3.000 5.196 0.000
3.000 1.732 4.899
ATOMIC_POSITIONS angstrom
Ba 3.000 1.732 1.225
O 4.614 4.264 1.318
O 7.386 4.264 1.318
Nd 0.000 0.000 0.000
O 4.614 2.664 3.581
Ba 9.000 5.196 3.674
Ir 6.000 3.464 2.449
O 6.000 1.863 1.318
O 7.386 2.664 3.581
O 6.000 5.065 3.581
! Crystal system   cubic
! Formation energy (no corrections)   -2308 meV per atom
! SG   Fm-3m (225)
! Calculated density   7.688 g cm⁻³

Entry 22:
! MgTe2Os PBEsol optimized geometry; values from VASP
&SYSTEM
  ibrav = 0, nat = 4, ntyp = 3
/
ATOMIC_SPECIES
Mg 24.30 Mg.upf
Os 190.23 Os.upf
Te 127.60 Te.upf
CELL_PARAMETERS angstrom
3.931 0.000 0.000
1.966 3.405 0.000
1.966 1.135 8.356
ATOMIC_POSITIONS angstrom
Mg 0.000 0.000 0.000
Os 3.931 2.270 4.178
Te 1.966 1.135 5.529
Te 5.897 3.405 2.827
! Crystal system   trigonal
! Formation energy (no corrections)   197 meV per atom
! SG   R-3m (166)
! Calculated density   6.974 g cm⁻³

Entry 23:
! TeMoWS3 PBEsol optimized geometry; values from VASP
&SYSTEM
  ibrav = 0, nat = 12, ntyp = 4
/
ATOMIC_SPECIES
S 32.06 S.upf
Te 127.60 Te.upf
W 183.84 W.upf
Mo 95.94 Mo.upf
CELL_PARAMETERS angstrom
3.225 0.000 0.000
-1.612 2.793 0.000
0.000 0.000 25.737
ATOMIC_POSITIONS angstrom
S 0.000 1.862 24.424
S 1.612 0.931 7.956
S 0.000 1.862 14.145
Te 1.612 0.931 21.221
S 0.000 1.862 1.742
W 0.000 1.862 19.285
S 0.000 1.862 11.089
S 1.612 0.931 4.874
Mo 1.612 0.931 0.215
W 0.000 1.862 6.415
Te 1.612 0.931 17.349
Mo 1.612 0.931 12.616
! Crystal system   hexagonal
! Formation energy (no corrections)   -670 meV per atom
! SG   P-6m2 (187)
! Calculated density   7.216 g cm⁻³

Entry 24:
! Te2HPb PBEsol optimized geometry; values from VASP
&SYSTEM
  ibrav = 0, nat = 4, ntyp = 3
/
ATOMIC_SPECIES
Pb 207.20 Pb.upf
Te 127.60 Te.upf
H 1.01 H.upf
CELL_PARAMETERS angstrom
4.453 0.000 0.000
2.227 3.857 0.000
2.227 1.286 7.359
ATOMIC_POSITIONS angstrom
Pb 4.453 2.571 3.679
Te 2.227 1.286 5.430
Te 6.680 3.857 1.928
H 0.000 0.000 0.000
! Crystal system   trigonal
! Total energy   -13.78 eV for the cell shown
! SG   R-3m (166)
! Calculated density   6.089 g cm⁻³